No. 1
Computed, not measured: a relaxed ZrCrAs2Se crystal at the PBE-GGA level of DFT.

a = 4.623 Å, b = 4.623 Å, c = 4.927 Å
α = 90.00°, β = 90.00°, γ = 90.00°
Atoms (fractional coordinates):
Zr: 0.000 0.000 0.000
Cr: 0.500 0.500 0.500
As: 0.000 0.500 0.500
As: 0.500 0.000 0.500
Se: 0.500 0.500 0.000

Values from the calculation:
DOS(E_F) = 3.9 states/eV/cell
SG = P4/mmm
E_form (uncorrected) = 0.166 eV/atom
Polymorph energy (0 for the lowest one) = 0.000 eV per atom
Raw total energy = -6.025 eV per atom

***

No. 2
Computed, not measured: a relaxed CrSiAs2 crystal at the PBE-GGA level of DFT.

a = 3.074 Å, b = 3.074 Å, c = 7.046 Å
α = 90.00°, β = 90.00°, γ = 90.00°
Atoms (fractional coordinates):
Cr: 0.000 0.000 0.000
Si: 0.500 0.500 0.160
As: 0.000 0.000 0.373
As: 0.500 0.500 0.791

Values from the calculation:
DOS(E_F) = 3.0 states/eV/cell
SG = P4mm
E_form (uncorrected) = 0.082 eV/atom
Raw total energy = -6.004 eV per atom

***

No. 3
Computed, not measured: a relaxed CrSiAs3 crystal at the PBE-GGA level of DFT.

a = 4.667 Å, b = 4.667 Å, c = 4.667 Å
α = 90.00°, β = 90.00°, γ = 90.00°
Atoms (fractional coordinates):
Cr: 0.000 0.000 0.000
Si: 0.500 0.500 0.500
As: 0.000 0.000 0.500
As: 0.000 0.500 0.000
As: 0.500 0.000 0.000

Values from the calculation:
DOS(E_F) = 2.7 states/eV/cell
SG = Pm-3m
E_form (uncorrected) = 0.626 eV/atom
Polymorph energy (0 for the lowest one) = 0.000 eV per atom
Raw total energy = -5.173 eV per atom

***

No. 4
Computed, not measured: a relaxed CrSi2As crystal at the PBE-GGA level of DFT.

a = 6.536 Å, b = 6.536 Å, c = 6.536 Å
α = 126.64°, β = 126.64°, γ = 78.84°
Atoms (fractional coordinates):
Cr: 0.000 0.000 0.000
Cr: 0.750 0.250 0.500
Si: 0.129 0.625 0.004
Si: 0.375 0.379 0.504
Si: 0.621 0.125 0.996
Si: 0.875 0.871 0.496
As: 0.250 0.750 0.500
As: 0.500 0.500 0.000

Values from the calculation:
DOS(E_F) = 1.0 states/eV/cell
SG = I-42d
E_form (uncorrected) = 0.502 eV/atom
Raw total energy = -5.778 eV per atom

***

No. 5
Computed, not measured: a relaxed CrSi2As crystal at the PBE-GGA level of DFT.

a = 4.546 Å, b = 4.546 Å, c = 2.900 Å
α = 90.00°, β = 90.00°, γ = 107.19°
Atoms (fractional coordinates):
Cr: 0.000 0.000 0.000
Si: 0.000 0.500 0.500
Si: 0.500 0.000 0.500
As: 0.500 0.500 0.000

Values from the calculation:
DOS(E_F) = 2.9 states/eV/cell
SG = Cmmm
E_form (uncorrected) = 0.382 eV/atom
Raw total energy = -5.897 eV per atom

***

No. 6
Computed, not measured: a relaxed CrSi2As crystal at the PBE-GGA level of DFT.

a = 3.023 Å, b = 3.023 Å, c = 6.351 Å
α = 90.00°, β = 90.00°, γ = 90.00°
Atoms (fractional coordinates):
Cr: 0.000 0.000 0.000
Si: 0.500 0.500 0.197
Si: 0.500 0.500 0.803
As: 0.000 0.000 0.500

Values from the calculation:
DOS(E_F) = 3.1 states/eV/cell
SG = P4/mmm
E_form (uncorrected) = 0.228 eV/atom
Raw total energy = -6.052 eV per atom

***

Question: The highest DOS(E_F) belongs to which entry?
Answer: ZrCrAs2Se

***

Question: Which of these has the lowest raw total energy?
Answer: number 6